VASP calculation (PBE-GGA) on crystalline TmMgS at its relaxed geometry.

a = 4.7485 Å, b = 4.7485 Å, c = 7.8521 Å
α = 72.40°, β = 72.40°, γ = 60.00°
With the nearest neighbours (Å) after each atom.
Positions (direct):
1 S 0.7153 0.7153 0.8542  1 Mg 2.53, 4 Tm 2.75-2.81
2 S 0.2847 0.2847 0.1458  1 Mg 2.53, 4 Tm 2.75-2.81
3 Tm 0.4092 0.4092 0.7724  4 S 2.75-2.81
4 Tm 0.5908 0.5908 0.2276  4 S 2.75-2.81
5 Mg 0.1700 0.1700 0.4901  1 S 2.53, 3 Mg 2.75
6 Mg 0.8300 0.8300 0.5099  1 S 2.53, 3 Mg 2.75

The value obtained for the final energy is -4.371 eV/atom. As for the uncorrected formation energy: -281.8 kJ/mol of formula units.

VASP calculation (PBE-GGA) on crystalline TmMg2S4 at its relaxed geometry.

a = 3.6441 Å, b = 6.3185 Å, c = 12.5636 Å
α = 90.00°, β = 90.00°, γ = 106.76°
With the nearest neighbours (Å) after each atom.
Positions (direct):
1 S 0.5000 0.0000 0.5000  4 Mg 2.58
2 S 0.2188 0.4377 0.6182  3 Mg 2.57-2.63, 2 Tm 2.75
3 S 0.7812 0.5623 0.3818  3 Mg 2.57-2.63, 2 Tm 2.75
4 S 0.0450 0.0901 0.2500  2 Mg 2.51, 2 Tm 2.68
5 S 0.7812 0.5623 0.1182  3 Mg 2.57-2.63, 2 Tm 2.75
6 S 0.9550 0.9099 0.7500  2 Mg 2.51, 2 Tm 2.68
7 S 0.5000 0.0000 0.0000  4 Mg 2.58
8 S 0.2188 0.4377 0.8818  3 Mg 2.57-2.63, 2 Tm 2.75
9 Tm 0.3822 0.7645 0.2500  6 S 2.68-2.75
10 Tm 0.6178 0.2355 0.7500  6 S 2.68-2.75
11 Mg 0.8675 0.7349 0.9313  6 S 2.51-2.63
12 Mg 0.1325 0.2651 0.4313  6 S 2.51-2.63
13 Mg 0.1325 0.2651 0.0687  6 S 2.51-2.63
14 Mg 0.8675 0.7349 0.5687  6 S 2.51-2.63

The value obtained for the final energy is -4.863 eV/atom. As for the uncorrected formation energy: -952.2 kJ/mol of formula units.

VASP calculation (PBE-GGA) on crystalline Tm3MgS4 at its relaxed geometry.

a = 5.3977 Å, b = 5.3977 Å, c = 6.6175 Å
α = 114.06°, β = 114.06°, γ = 90.00°
With the nearest neighbours (Å) after each atom.
Positions (direct):
1 S 0.2384 0.2384 0.4768  1 Mg 2.58, 5 Tm 2.70-2.83
2 S 0.0000 0.5000 0.0000  2 Mg 2.70, 4 Tm 2.70
3 S 0.5000 0.0000 0.0000  2 Mg 2.70, 4 Tm 2.70
4 S 0.7616 0.7616 0.5232  1 Mg 2.58, 5 Tm 2.70-2.83
5 Tm 0.7500 0.2500 0.5000  6 S 2.70
6 Tm 0.2500 0.7500 0.5000  6 S 2.70
7 Tm 0.5000 0.5000 0.0000  6 S 2.70-2.83
8 Mg 0.0000 0.0000 0.0000  6 S 2.58-2.70

The value obtained for the final energy is -5.702 eV/atom. As for the uncorrected formation energy: -1359.9 kJ/mol of formula units.

VASP calculation (PBE-GGA) on crystalline Tm6MgS8 at its relaxed geometry.

a = 7.6551 Å, b = 7.6551 Å, c = 7.6551 Å
α = 60.00°, β = 60.00°, γ = 60.00°
With the nearest neighbours (Å) after each atom.
Positions (direct):
1 Tm 0.5000 0.0000 0.5000  6 S 2.71
2 Tm 0.5000 0.5000 0.0000  6 S 2.71
3 Tm 0.5000 0.0000 0.0000  6 S 2.71
4 Tm 0.0000 0.0000 0.5000  6 S 2.71
5 Tm 0.0000 0.5000 0.0000  6 S 2.71
6 Tm 0.0000 0.5000 0.5000  6 S 2.71
7 S 0.2500 0.2500 0.2500  6 Tm 2.71
8 S 0.2433 0.7567 0.2433  1 Mg 2.63, 4 Tm 2.71
9 S 0.7500 0.7500 0.7500  6 Tm 2.71
10 S 0.7567 0.7567 0.2433  1 Mg 2.63, 4 Tm 2.71
11 S 0.2433 0.2433 0.7567  1 Mg 2.63, 4 Tm 2.71
12 S 0.2433 0.7567 0.7567  1 Mg 2.63, 4 Tm 2.71
13 S 0.7567 0.2433 0.7567  1 Mg 2.63, 4 Tm 2.71
14 S 0.7567 0.2433 0.2433  1 Mg 2.63, 4 Tm 2.71
15 Mg 0.0000 0.0000 0.0000  6 S 2.63

The value obtained for the final energy is -6.043 eV/atom. As for the uncorrected formation energy: -2816.9 kJ/mol of formula units.

VASP calculation (PBE-GGA) on crystalline TmMgS2 at its relaxed geometry.

a = 3.6940 Å, b = 3.6940 Å, c = 6.8936 Å
α = 74.46°, β = 74.46°, γ = 60.00°
With the nearest neighbours (Å) after each atom.
Positions (direct):
1 S 0.2557 0.2557 0.2329  3 Mg 2.64, 3 Tm 2.76
2 S 0.0761 0.0761 0.7717  3 Mg 2.59, 3 Tm 2.78
3 Mg 0.6684 0.6684 0.9949  6 S 2.59-2.64
4 Tm 0.4999 0.4999 0.5004  6 S 2.76-2.78

The value obtained for the final energy is -5.174 eV/atom. As for the uncorrected formation energy: -615.0 kJ/mol of formula units. The energy above the most stable polymorph in this dataset is 0 meV per atom.

VASP calculation (PBE-GGA) on crystalline TmMgS2 at its relaxed geometry.

a = 4.0791 Å, b = 4.0791 Å, c = 7.4471 Å
α = 74.11°, β = 74.11°, γ = 60.00°
With the nearest neighbours (Å) after each atom.
Positions (direct):
1 Mg 0.9892 0.9892 0.0323  4 S 2.45-2.50
2 Tm 0.4781 0.4781 0.5657  4 S 2.63-2.67
3 S 0.3542 0.3542 0.9376  3 Mg 2.45, 1 Tm 2.63
4 S 0.8711 0.8711 0.3867  1 Mg 2.50, 3 Tm 2.67

The value obtained for the final energy is -4.989 eV/atom. As for the uncorrected formation energy: -543.9 kJ/mol of formula units. The energy above the most stable polymorph in this dataset is 184 meV per atom.

VASP calculation (PBE-GGA) on crystalline Tm3MgS6 at its relaxed geometry.

a = 6.6528 Å, b = 8.2553 Å, c = 8.2553 Å
α = 100.26°, β = 90.00°, γ = 90.00°
With the nearest neighbours (Å) after each atom.
Positions (direct):
1 S 0.6853 0.6305 0.6980  4 Tm 2.71-2.80
2 S 0.7076 0.5546 0.0989  1 Mg 2.45, 2 Tm 2.69-2.75
3 S 0.1853 0.6980 0.6305  4 Tm 2.71-2.80
4 S 0.7076 0.9011 0.4454  1 Mg 2.45, 2 Tm 2.69-2.75
5 S 0.2076 0.4454 0.9011  1 Mg 2.45, 2 Tm 2.69-2.75
6 S 0.1853 0.3695 0.3020  4 Tm 2.71-2.80
7 S 0.1433 0.7737 0.2263  1 Mg 2.43, 2 Tm 2.70
8 S 0.6931 0.9690 0.0310  1 Mg 2.48
9 S 0.2076 0.0989 0.5546  1 Mg 2.45, 2 Tm 2.69-2.75
10 S 0.6853 0.3020 0.3695  4 Tm 2.71-2.80
11 S 0.1931 0.0310 0.9690  1 Mg 2.48
12 S 0.6433 0.2263 0.7737  1 Mg 2.43, 2 Tm 2.70
13 Tm 0.8947 0.5996 0.4004  7 S 2.73-2.80
14 Tm 0.3947 0.4004 0.5996  7 S 2.73-2.80
15 Tm 0.9819 0.0793 0.2812  7 S 2.69-2.90
16 Tm 0.9819 0.7188 0.9207  7 S 2.69-2.90
17 Tm 0.4819 0.2812 0.0793  7 S 2.69-2.90
18 Tm 0.4819 0.9207 0.7188  7 S 2.69-2.90
19 Mg 0.0048 0.1997 0.8003  4 S 2.43-2.48
20 Mg 0.5048 0.8003 0.1997  4 S 2.43-2.48

The value obtained for the final energy is -5.690 eV/atom. As for the uncorrected formation energy: -1652.3 kJ/mol of formula units.

VASP calculation (PBE-GGA) on crystalline Tm2MgS3 at its relaxed geometry.

a = 8.6048 Å, b = 8.6048 Å, c = 8.6048 Å
α = 154.61°, β = 154.61°, γ = 36.21°
With the nearest neighbours (Å) after each atom.
Positions (direct):
1 S 0.5000 0.5000 0.0000  4 Mg 2.67, 2 Tm 2.84
2 S 0.8419 0.8419 0.0000  1 Mg 2.59, 5 Tm 2.69-2.75
3 S 0.1581 0.1581 0.0000  1 Mg 2.59, 5 Tm 2.69-2.75
4 Tm 0.6739 0.6739 0.0000  6 S 2.69-2.84
5 Tm 0.3261 0.3261 0.0000  6 S 2.69-2.84
6 Mg 0.0000 0.0000 0.0000  6 S 2.59-2.67

The value obtained for the final energy is -5.551 eV/atom. As for the uncorrected formation energy: -1002.1 kJ/mol of formula units.

VASP calculation (PBE-GGA) on crystalline Tm5MgS6 at its relaxed geometry.

a = 6.6008 Å, b = 6.6079 Å, c = 6.6396 Å
α = 60.16°, β = 80.42°, γ = 70.46°
With the nearest neighbours (Å) after each atom.
Positions (direct):
1 Tm 0.5000 0.8304 0.3392  6 S 2.69-2.77
2 Tm 0.0000 0.6674 0.6651  6 S 2.71-2.72
3 Tm 0.0000 0.3326 0.3349  6 S 2.71-2.72
4 Tm 0.5000 0.5000 0.0000  6 S 2.70-2.80
5 Tm 0.5000 0.1696 0.6608  6 S 2.69-2.77
6 S 0.2428 0.2387 0.0000  1 Mg 2.60, 5 Tm 2.72-2.80
7 S 0.7566 0.4021 0.6790  1 Mg 2.61, 5 Tm 2.69-2.77
8 S 0.2434 0.5979 0.3210  1 Mg 2.61, 5 Tm 2.69-2.77
9 S 0.2434 0.9189 0.6790  1 Mg 2.61, 5 Tm 2.69-2.77
10 S 0.7572 0.7613 0.0000  1 Mg 2.60, 5 Tm 2.72-2.80
11 S 0.7566 0.0811 0.3210  1 Mg 2.61, 5 Tm 2.69-2.77
12 Mg 0.0000 0.0000 0.0000  6 S 2.60-2.61

The value obtained for the final energy is -5.871 eV/atom. As for the uncorrected formation energy: -2096.5 kJ/mol of formula units.